Record 1
# InReAg4, relaxed, DFT GGA-PBE
# * space group: F-43m
# * magnetic moment: 2.58 μB per formula unit
# * E_form: 740 meV per atom
# * V: 113 Å³ per cell
data_InReAg4
_chemical_formula_sum 'In1 Re1 Ag4'
_symmetry_space_group_name_H-M 'P 1'
_symmetry_Int_Tables_number 1
_cell_length_a 5.430
_cell_length_b 5.430
_cell_length_c 5.430
_cell_angle_alpha 60.00
_cell_angle_beta 60.00
_cell_angle_gamma 60.00
loop_
_symmetry_equiv_pos_as_xyz
'x,y,z'
loop_
_atom_site_label
_atom_site_type_symbol
_atom_site_fract_x
_atom_site_fract_y
_atom_site_fract_z
_atom_site_occupancy
In1 In 0.000 0.000 0.000 1
Re1 Re 0.750 0.750 0.750 1
Ag1 Ag 0.375 0.375 0.375 1
Ag2 Ag 0.375 0.375 0.874 1
Ag3 Ag 0.375 0.874 0.375 1
Ag4 Ag 0.874 0.375 0.375 1


Record 2
# ScVTc3, relaxed, DFT GGA-PBE
# * excess energy over the best structure of this formula in the dataset: 0.000 eV/atom
# * space group: Pm-3m
# * magnetic moment: 0.61 μB per formula unit
# * E_form: 700 meV per atom
# * V: 91 Å³ per cell
data_ScVTc3
_chemical_formula_sum 'Sc1 V1 Tc3'
_symmetry_space_group_name_H-M 'P 1'
_symmetry_Int_Tables_number 1
_cell_length_a 4.495
_cell_length_b 4.495
_cell_length_c 4.495
_cell_angle_alpha 90.00
_cell_angle_beta 90.00
_cell_angle_gamma 90.00
loop_
_symmetry_equiv_pos_as_xyz
'x,y,z'
loop_
_atom_site_label
_atom_site_type_symbol
_atom_site_fract_x
_atom_site_fract_y
_atom_site_fract_z
_atom_site_occupancy
Sc1 Sc 0.000 0.000 0.000 1
V1 V 0.500 0.500 0.500 1
Tc1 Tc 0.000 0.500 0.500 1
Tc2 Tc 0.500 0.000 0.500 1
Tc3 Tc 0.500 0.500 0.000 1


Record 3
# Cs12Au5I, relaxed, DFT GGA-PBE
# * space group: C2/m
# * magnetic moment: 0.00 μB per formula unit
# * E_form (uncorrected): -0.35 eV/atom
# * V: 1289 Å³ per cell
data_Cs12Au5I
_chemical_formula_sum 'Cs12 Au5 I1'
_symmetry_space_group_name_H-M 'P 1'
_symmetry_Int_Tables_number 1
_cell_length_a 9.208
_cell_length_b 9.208
_cell_length_c 17.745
_cell_angle_alpha 90.04
_cell_angle_beta 90.04
_cell_angle_gamma 121.07
loop_
_symmetry_equiv_pos_as_xyz
'x,y,z'
loop_
_atom_site_label
_atom_site_type_symbol
_atom_site_fract_x
_atom_site_fract_y
_atom_site_fract_z
_atom_site_occupancy
Cs1 Cs 0.002 0.669 0.889 1
Cs2 Cs 0.148 0.148 0.380 1
Cs3 Cs 0.153 0.502 0.620 1
Cs4 Cs 0.331 0.998 0.111 1
Cs5 Cs 0.335 0.335 0.888 1
Cs6 Cs 0.498 0.847 0.380 1
Cs7 Cs 0.502 0.153 0.620 1
Cs8 Cs 0.665 0.665 0.112 1
Cs9 Cs 0.669 0.002 0.889 1
Cs10 Cs 0.847 0.498 0.380 1
Cs11 Cs 0.852 0.852 0.620 1
Cs12 Cs 0.998 0.331 0.111 1
Au1 Au 0.000 0.000 0.000 1
Au2 Au 0.166 0.834 0.500 1
Au3 Au 0.334 0.666 0.000 1
Au4 Au 0.666 0.334 0.000 1
Au5 Au 0.834 0.166 0.500 1
I1 I 0.500 0.500 0.500 1